YTm2Ir | PBE | optimized geometry

Cell: 3.890 6.304 8.917 Å, 90.00 90.00 107.98°
Positions (direct):
Y 0.430 0.859 0.250
Y 0.570 0.141 0.750
Tm 0.143 0.286 0.434
Tm 0.857 0.714 0.566
Tm 0.857 0.714 0.934
Tm 0.143 0.286 0.066
Ir 0.752 0.504 0.250
Ir 0.248 0.496 0.750

Values from the calculation:
Its offset from the most stable computed form is 32 meV per atom. Its total energy is -53.2 eV/cell. As for the total magnetic moment: 0.00 μB per cell.

***

YTmIr | PBE | optimized geometry

Cell: 4.779 4.779 6.756 Å, 90.12 90.10 89.99°
Positions (direct):
Y 0.500 0.000 0.250
Y 0.500 0.000 0.750
Ir 0.000 0.000 0.000
Ir 0.500 0.500 0.500
Tm 0.000 0.500 0.250
Tm 0.000 0.500 0.750

Values from the calculation:
Its offset from the most stable computed form is 14 meV per atom. Its total energy is -43.9 eV/cell. As for the total magnetic moment: 0.00 μB per cell.

***

YTmIr | PBE | optimized geometry

Cell: 3.446 3.446 6.769 Å, 104.75 104.75 90.00°
Positions (direct):
Y 0.297 0.297 0.594
Ir 0.664 0.664 0.328
Tm 0.039 0.039 0.078

Values from the calculation:
Its offset from the most stable computed form is 134 meV per atom. Its total energy is -21.6 eV/cell. As for the total magnetic moment: 0.00 μB per cell.

***

YTmIr4 | PBE | optimized geometry

Cell: 5.348 5.348 5.348 Å, 60.00 60.00 60.00°
Positions (direct):
Y 0.000 0.000 0.000
Ir 0.625 0.625 0.125
Ir 0.625 0.125 0.625
Ir 0.625 0.625 0.625
Ir 0.125 0.625 0.625
Tm 0.250 0.250 0.250

Values from the calculation:
Its total energy is -51.3 eV/cell. As for the total magnetic moment: 0.00 μB per cell.

***

YTm8Ir6 | PBE | optimized geometry

Cell: 7.569 7.569 7.569 Å, 65.62 65.62 65.62°
Positions (direct):
Y 0.000 0.000 0.000
Tm 0.222 0.552 0.889
Tm 0.111 0.778 0.448
Tm 0.448 0.111 0.778
Tm 0.666 0.666 0.666
Tm 0.334 0.334 0.334
Tm 0.552 0.889 0.222
Tm 0.889 0.222 0.552
Tm 0.778 0.448 0.111
Ir 0.057 0.392 0.722
Ir 0.278 0.943 0.608
Ir 0.608 0.278 0.943
Ir 0.392 0.722 0.057
Ir 0.722 0.057 0.392
Ir 0.943 0.608 0.278

Values from the calculation:
Its total energy is -108.1 eV/cell. As for the total magnetic moment: 0.00 μB per cell.

***

Y4TmIr2 | PBE | optimized geometry

Cell: 6.313 7.855 7.912 Å, 112.59 90.00 90.00°
Positions (direct):
Y 0.503 0.416 0.765
Y 0.250 0.246 0.333
Y 0.750 0.754 0.667
Y 0.997 0.416 0.765
Y 0.750 0.017 0.380
Y 0.003 0.584 0.235
Y 0.497 0.584 0.235
Y 0.250 0.983 0.620
Tm 0.250 0.843 0.968
Tm 0.750 0.157 0.032
Ir 0.250 0.252 0.985
Ir 0.750 0.748 0.015
Ir 0.750 0.374 0.410
Ir 0.250 0.626 0.590

Values from the calculation:
Its total energy is -103.3 eV/cell. As for the total magnetic moment: 0.00 μB per cell.

***

Y2TmIr | PBE | optimized geometry

Cell: 3.491 3.491 8.692 Å, 90.00 90.00 90.00°
Site moments in Bohr magnetons follow the coordinates.
Positions (direct):
Y 0.000 0.000 0.811  0.01
Y 0.000 0.000 0.189  0.01
Ir 0.500 0.500 0.000  0.00
Tm 0.500 0.500 0.500  0.06

Values from the calculation:
Its offset from the most stable computed form is 221 meV per atom. Its total energy is -27.7 eV/cell. As for the total magnetic moment: 0.13 μB per cell.

***

YTm2Ir | PBE | optimized geometry

Cell: 3.711 3.711 10.600 Å, 79.92 79.92 60.00°
Site moments in Bohr magnetons follow the coordinates.
Positions (direct):
Y 0.000 0.000 0.000  0.21
Ir 0.500 0.500 0.500  0.01
Tm 0.114 0.114 0.659  0.04
Tm 0.886 0.886 0.341  0.04

Values from the calculation:
Its offset from the most stable computed form is 457 meV per atom. Its total energy is -24.9 eV/cell. As for the total magnetic moment: 0.61 μB per cell.

***

Respective formation energy from the elements values: -55.9, -69.1, -57.5, -78.5, -81.8, -49.7, -34.9, -14.9 kJ/mol of atoms.